# 1
! AcLaPr5Ho2 (GGA-PBE, relaxed); values from VASP
! Magnetization: 0.0 Bohr magnetons per cell
! Calculated formation energy: 0.14 eV/atom
! Crystal system: orthorhombic
&SYSTEM
  ibrav = 0, nat = 18, ntyp = 4
/
ATOMIC_SPECIES
Ac 227.00 Ac.upf
La 138.91 La.upf
Pr 140.91 Pr.upf
Ho 164.93 Ho.upf
CELL_PARAMETERS angstrom
2.851 -12.145 0.000
2.851 12.145 0.000
0.000 0.000 9.679
ATOMIC_POSITIONS angstrom
Ac 2.851 9.637 4.839
Ac 2.851 -9.637 0.000
La 2.851 5.596 1.052
La 2.851 -5.596 5.891
Pr 2.851 11.532 8.025
Pr 2.851 9.624 1.073
Pr 2.851 7.608 7.808
Pr 2.851 6.307 4.125
Pr 2.851 0.139 5.905
Pr 2.851 -0.139 1.066
Pr 2.851 -6.307 8.964
Pr 2.851 -7.608 2.968
Pr 2.851 -9.624 5.913
Pr 2.851 -11.532 3.186
Ho 2.851 4.170 7.180
Ho 2.851 2.716 3.600
Ho 2.851 -2.716 8.439
Ho 2.851 -4.170 2.341

***

# 2
! AcLa6Pr2Ho (GGA-PBE, relaxed); values from VASP
! Magnetization: 0.0 Bohr magnetons per cell
! Calculated formation energy: 0.11 eV/atom
! Crystal system: monoclinic
&SYSTEM
  ibrav = 0, nat = 20, ntyp = 4
/
ATOMIC_SPECIES
Ac 227.00 Ac.upf
La 138.91 La.upf
Pr 140.91 Pr.upf
Ho 164.93 Ho.upf
CELL_PARAMETERS angstrom
4.994 -7.815 0.000
4.994 7.815 0.000
-0.185 0.000 9.467
ATOMIC_POSITIONS angstrom
Ac 4.855 6.767 7.101
Ac 4.947 -6.767 2.367
La 2.446 3.454 3.043
La 4.224 5.413 0.855
La 5.671 5.413 3.879
La 4.066 2.250 8.558
La 5.644 2.250 5.643
La 2.353 -3.454 7.777
La 7.449 3.454 1.691
La 4.158 -2.250 3.824
La 5.737 -2.250 0.909
La 4.131 -5.413 5.589
La 5.579 -5.413 8.612
La 7.356 -3.454 6.424
Pr 2.460 0.741 5.325
Pr 2.552 -0.741 0.591
Pr 7.250 0.741 8.876
Pr 7.342 -0.741 4.143
Ho 4.947 1.131 2.367
Ho 4.855 -1.131 7.101

***

# 3
! AcLa4Pr2Ho (GGA-PBE, relaxed); values from VASP
! Magnetization: 0.0 Bohr magnetons per cell
! Calculated formation energy: 0.02 eV/atom
! Crystal system: monoclinic
&SYSTEM
  ibrav = 0, nat = 8, ntyp = 4
/
ATOMIC_SPECIES
Ac 227.00 Ac.upf
La 138.91 La.upf
Pr 140.91 Pr.upf
Ho 164.93 Ho.upf
CELL_PARAMETERS angstrom
5.898 -2.642 0.000
5.898 2.642 0.000
-4.774 0.000 9.487
ATOMIC_POSITIONS angstrom
Ac 0.000 0.000 0.000
La -1.237 0.000 8.243
La 1.160 0.000 3.594
La 5.862 0.000 5.893
La 8.259 0.000 1.244
Pr 4.655 0.000 2.428
Pr 2.367 0.000 7.059
Ho -2.387 0.000 4.743

***

# 4
! AcLaPrHo2 (GGA-PBE, relaxed); values from VASP
! Magnetization: 0.0 Bohr magnetons per cell
! Calculated formation energy: 0.34 eV/atom
! Crystal system: orthorhombic
&SYSTEM
  ibrav = 0, nat = 10, ntyp = 4
/
ATOMIC_SPECIES
Ac 227.00 Ac.upf
La 138.91 La.upf
Pr 140.91 Pr.upf
Ho 164.93 Ho.upf
CELL_PARAMETERS angstrom
3.264 -8.813 0.000
3.264 8.813 0.000
0.000 0.000 6.632
ATOMIC_POSITIONS angstrom
Ac 3.264 6.066 4.974
Ac 3.264 -6.066 1.658
La 3.264 2.692 4.974
La 3.264 -2.692 1.658
Pr 3.264 4.976 1.658
Pr 3.264 -4.976 4.974
Ho 1.612 0.000 0.000
Ho 1.612 0.000 3.316
Ho 4.916 0.000 0.000
Ho 4.916 0.000 3.316

***

# 5
! AcLaPr2Ho4 (GGA-PBE, relaxed); values from VASP
! Magnetization: 0.0 Bohr magnetons per cell
! Calculated formation energy: 0.40 eV/atom
! Crystal system: orthorhombic
&SYSTEM
  ibrav = 0, nat = 16, ntyp = 4
/
ATOMIC_SPECIES
Ac 227.00 Ac.upf
La 138.91 La.upf
Pr 140.91 Pr.upf
Ho 164.93 Ho.upf
CELL_PARAMETERS angstrom
-3.474 6.037 6.767
3.474 -6.037 6.767
3.474 6.037 -6.767
ATOMIC_POSITIONS angstrom
Ac 0.000 0.000 0.000
Ac 0.000 6.037 0.000
La -1.737 3.018 3.384
La 1.737 3.018 3.384
Pr 1.737 3.018 -3.384
Pr 1.737 -3.018 3.384
Pr 3.474 0.000 0.000
Pr 0.000 0.000 6.767
Ho 3.474 -0.003 3.276
Ho 1.823 3.018 0.003
Ho 5.126 3.018 0.003
Ho 3.474 6.033 -3.276
Ho 0.000 0.003 10.043
Ho -1.651 3.018 6.765
Ho 1.651 3.018 6.765
Ho 0.000 6.040 3.491

***

# 6
! AcLa2PrHo4 (GGA-PBE, relaxed); values from VASP
! Magnetization: 0.0 Bohr magnetons per cell
! Calculated formation energy: 0.03 eV/atom
! Crystal system: triclinic
&SYSTEM
  ibrav = 0, nat = 16, ntyp = 4
/
ATOMIC_SPECIES
Ac 227.00 Ac.upf
La 138.91 La.upf
Pr 140.91 Pr.upf
Ho 164.93 Ho.upf
CELL_PARAMETERS angstrom
7.447 0.000 0.000
0.013 7.465 0.000
0.009 0.001 9.995
ATOMIC_POSITIONS angstrom
Ac 0.000 0.000 0.000
Ac 0.011 3.726 5.000
La 0.017 3.734 9.994
La 3.732 3.725 0.003
La 3.735 3.734 4.997
La 3.736 7.457 0.003
Pr 0.019 7.458 5.000
Pr 3.742 7.464 4.996
Ho 1.895 1.854 2.507
Ho 1.903 1.854 7.490
Ho 1.901 5.604 2.506
Ho 1.909 5.605 7.489
Ho 5.566 1.854 7.490
Ho 5.573 5.605 7.490
Ho 5.565 1.854 2.508
Ho 5.572 5.604 2.507

***

# 7
! AcLaPr6Ho2 (GGA-PBE, relaxed); values from VASP
! Magnetization: 0.0 Bohr magnetons per cell
! Calculated formation energy: 0.11 eV/atom
! Crystal system: monoclinic
&SYSTEM
  ibrav = 0, nat = 20, ntyp = 4
/
ATOMIC_SPECIES
Ac 227.00 Ac.upf
La 138.91 La.upf
Pr 140.91 Pr.upf
Ho 164.93 Ho.upf
CELL_PARAMETERS angstrom
4.736 -7.810 0.000
4.736 7.810 0.000
-1.190 0.000 9.916
ATOMIC_POSITIONS angstrom
Ac 3.843 7.332 7.437
Ac 4.438 -7.332 2.479
La 4.438 1.444 2.479
La 3.843 -1.444 7.437
Pr 1.909 4.207 6.728
Pr 4.027 4.993 0.542
Pr 4.850 4.993 4.416
Pr 2.763 1.669 8.720
Pr 5.777 4.207 8.145
Pr 4.923 1.669 6.154
Pr 3.358 -1.669 3.762
Pr 2.505 -4.207 1.770
Pr 5.519 -1.669 1.196
Pr 3.431 -4.993 5.500
Pr 4.255 -4.993 9.374
Pr 6.372 -4.207 3.188
Ho 1.723 0.830 5.423
Ho 2.318 -0.830 0.465
Ho 5.963 0.830 9.450
Ho 6.558 -0.830 4.493

***

# 8
! Ac2LaPr4Ho (GGA-PBE, relaxed); values from VASP
! Magnetization: 0.0 Bohr magnetons per cell
! Calculated formation energy: 0.04 eV/atom
! Crystal system: monoclinic
&SYSTEM
  ibrav = 0, nat = 8, ntyp = 4
/
ATOMIC_SPECIES
Ac 227.00 Ac.upf
La 138.91 La.upf
Pr 140.91 Pr.upf
Ho 164.93 Ho.upf
CELL_PARAMETERS angstrom
6.527 0.000 0.000
0.000 3.789 0.000
-2.253 0.000 12.251
ATOMIC_POSITIONS angstrom
Ac 0.000 0.000 0.000
Ac 3.264 1.894 0.000
La -1.127 1.894 6.126
Pr -0.054 0.000 9.111
Pr 1.077 1.894 3.168
Pr 3.197 1.894 9.083
Pr 4.328 0.000 3.140
Ho 2.137 0.000 6.126

***

# 9
! Ac2LaPrHo (GGA-PBE, relaxed); values from VASP
! Magnetization: 0.0 Bohr magnetons per cell
! Calculated formation energy: 0.23 eV/atom
! Crystal system: orthorhombic
&SYSTEM
  ibrav = 0, nat = 10, ntyp = 4
/
ATOMIC_SPECIES
Ac 227.00 Ac.upf
La 138.91 La.upf
Pr 140.91 Pr.upf
Ho 164.93 Ho.upf
CELL_PARAMETERS angstrom
6.541 0.000 0.000
0.000 8.846 0.000
0.000 0.000 6.926
ATOMIC_POSITIONS angstrom
Ac 1.635 1.840 1.479
Ac 1.635 7.006 1.479
Ac 4.906 1.840 5.447
Ac 4.906 7.006 5.447
La 1.635 4.423 6.352
La 4.906 4.423 0.574
Pr 1.635 0.000 4.749
Pr 4.906 0.000 2.176
Ho 0.000 4.423 3.463
Ho 3.270 4.423 3.463

***

What did we get for DOS(E_F)? Answer: 11.0 13.4 14.6 8.4 18.2 11.3 14.3 13.9 6.8 states/eV/f.u., in the order shown.